Below is a geometry-optimized K2ZrI5 structure, with properties calculated at the PBE level.

```
K2ZrI5
1.0
0.000 6.373 4.834
6.373 0.000 4.834
6.373 6.373 0.000
K Zr I
2 1 5
Direct
0.000 0.000 0.500 K
0.500 0.500 0.000 K
0.309 0.309 0.691 Zr
0.018 0.460 0.982 I
0.019 0.462 0.538 I
0.460 0.018 0.540 I
0.462 0.019 0.981 I
0.588 0.588 0.412 I
```

## Properties
As for the uncorrected formation energy: -1.0626 eV/atom. The density of states at the Fermi level comes out at 0.77 states/eV per cell.